Entry 1:
First-principles (GGA-PBE) data for a geometry-optimized MgCdFe2 structure, as listed in Alexandria.

Properties
SG	Cm, No. 8
energy relative to the elements	0.2154	eV/atom
energy	-4.643	eV per atom
DOS(E_F)	2.46	states/eV per cell

Structure (POSCAR):
```
MgCdFe2
1.0
5.305 0.001 0.046
4.425 2.926 0.046
1.993 0.600 4.115
Cd Fe Mg
1 2 1
Direct
0.264 0.264 0.236
0.027 0.027 0.974
0.722 0.722 0.778
0.487 0.487 0.513
```

=====

Entry 2:
First-principles (GGA-PBE) data for a geometry-optimized Mg3CdFe structure, as listed in Alexandria.

Properties
SG	Pm-3m, No. 221
energy relative to the elements	0.5621	eV/atom
energy	-2.270	eV per atom
DOS(E_F)	5.83	states/eV per cell

Structure (POSCAR):
```
Mg3CdFe
1.0
4.843 0.000 0.000
0.000 4.843 0.000
0.000 0.000 4.843
Mg Fe Cd
3 1 1
Direct
0.000 0.500 0.000
0.000 0.000 0.500
0.500 0.000 0.000
0.000 0.000 0.000
0.500 0.500 0.500
```

=====

Entry 3:
First-principles (GGA-PBE) data for a geometry-optimized Mg2CdFe structure, as listed in Alexandria.

Properties
SG	P4/mmm, No. 123
energy relative to the elements	0.1505	eV/atom
energy	-2.991	eV per atom
DOS(E_F)	2.32	states/eV per cell

Structure (POSCAR):
```
Mg2CdFe
1.0
-1.478 -2.128 3.326
3.382 1.156 2.243
-1.958 3.309 1.247
Cd Fe Mg
1 1 2
Direct
0.500 0.000 0.500
0.000 0.500 0.500
0.000 0.000 0.000
0.500 0.500 0.000
```

=====

Entry 4:
First-principles (GGA-PBE) data for a geometry-optimized Mg2CdFe structure, as listed in Alexandria.

Properties
SG	I-4m2, No. 119
energy relative to the elements	0.1951	eV/atom
energy	-2.947	eV per atom
DOS(E_F)	4.97	states/eV per cell

Structure (POSCAR):
```
Mg2CdFe
1.0
5.195 0.072 0.000
1.930 4.823 0.000
-3.562 -2.448 2.882
Cd Fe Mg
1 1 2
Direct
0.500 0.500 0.000
0.750 0.250 0.500
0.000 0.000 0.000
0.250 0.750 0.500
```